A geometry-optimized Ba2DyPN4 structure, computed with GGA-PBE.

Calculated values
Crystal system: orthorhombic
Spin magnetization (Bohr magnetons per cell): 0.00
Uncorrected energy (Ry/atom): -0.4740
Energy relative to the elements, uncorrected (eV per formula unit): -4.44

a = 5.2880 Å, b = 6.3090 Å, c = 11.5146 Å
α = 84.48°, β = 76.73°, γ = 65.22°
Closest atoms and distances in Å follow each position.
Positions (direct):
N 0.8156 0.8132 0.9181  1 P 1.70
N 0.3788 0.6868 0.4181  1 P 1.70
P 0.2500 0.5000 0.5000  4 N 1.70
N 0.4837 0.3132 0.5819  1 P 1.70
N 0.3712 0.8132 0.0819  1 P 1.70
N 0.9344 0.6868 0.5819  1 P 1.70
Ba 0.8164 0.0000 0.3671  4 N 2.96-3.02
Ba 0.9336 0.5000 0.1329  4 N 2.96-3.02
Dy 0.0000 0.0000 0.0000  4 N 2.20
P 0.5000 0.0000 0.0000  4 N 1.70
Ba 0.1836 0.0000 0.6329  4 N 2.96-3.02
N 0.2031 0.3132 0.4181  1 P 1.70
Dy 0.7500 0.5000 0.5000  4 N 2.20
Ba 0.5664 0.5000 0.8671  4 N 2.96-3.02
N 0.2663 0.1868 0.9181  1 P 1.70
N 0.5469 0.1868 0.0819  1 P 1.70

***

A geometry-optimized Ba4DyPa3N8 structure, computed with GGA-PBE.

Calculated values
Crystal system: trigonal
Spin magnetization (Bohr magnetons per cell): 0.00
Uncorrected energy (Ry/atom): -0.5862
Fermi-level density of states (states/eV per atom): 0.306
Energy relative to the elements, uncorrected (eV per formula unit): -20.23

a = 7.2661 Å, b = 7.7028 Å, c = 7.2664 Å
α = 118.14°, β = 120.00°, γ = 90.00°
Closest atoms and distances in Å follow each position.
Positions (direct):
N 0.2752 0.3258 0.5505  3 Pa 2.38
Pa 0.0000 0.5000 0.5000  6 N 2.34-2.38
Dy 0.0000 0.5000 0.0000  6 N 2.48
N 0.2334 0.6752 0.4668  2 Pa 2.34, 1 Dy 2.48
N 0.7084 0.6752 0.9418  2 Pa 2.34, 1 Dy 2.48
Ba 0.5000 0.0000 0.5000  6 N 2.97-3.01
N 0.7665 0.3248 0.0582  2 Pa 2.34, 1 Dy 2.48
Pa 0.5000 0.5000 0.5000  6 N 2.34-2.38
N 0.2335 0.6752 0.9418  2 Pa 2.34, 1 Dy 2.48
Ba 0.0000 0.0000 0.0000  6 N 2.97-3.01
Ba 0.0000 0.0000 0.5000  6 N 2.97-3.01
N 0.7248 0.6742 0.4495  3 Pa 2.38
N 0.7666 0.3248 0.5332  2 Pa 2.34, 1 Dy 2.48
Pa 0.5000 0.5000 0.0000  6 N 2.34-2.38
Ba 0.5000 0.0000 0.0000  6 N 2.89
N 0.2916 0.3248 0.0582  2 Pa 2.34, 1 Dy 2.48

***

A geometry-optimized Ba3DyPa2N6 structure, computed with GGA-PBE.

Calculated values
Crystal system: monoclinic
Spin magnetization (Bohr magnetons per cell): 0.00
Uncorrected energy (Ry/atom): -0.5778
Fermi-level density of states (states/eV per atom): 0.226
Energy relative to the elements, uncorrected (eV per formula unit): -15.03

a = 6.2936 Å, b = 6.2936 Å, c = 6.7794 Å
α = 98.91°, β = 98.91°, γ = 119.95°
Closest atoms and distances in Å follow each position.
Positions (direct):
Pa 0.6668 0.3332 0.0000  6 N 2.35-2.36
N 0.5890 0.9400 0.8188  2 Pa 2.35-2.36, 1 Dy 2.50
Dy 0.0000 0.0000 0.0000  6 N 2.49-2.50
N 0.7088 0.7088 0.1776  2 Pa 2.35, 1 Dy 2.49
Ba 0.8378 0.1622 0.5000  6 N 2.89-2.98
N 0.9400 0.5890 0.8188  2 Pa 2.35-2.36, 1 Dy 2.50
N 0.0600 0.4110 0.1812  2 Pa 2.35-2.36, 1 Dy 2.50
Ba 0.5000 0.5000 0.5000  6 N 2.88-2.98
N 0.4110 0.0600 0.1812  2 Pa 2.35-2.36, 1 Dy 2.50
Pa 0.3332 0.6668 0.0000  6 N 2.35-2.36
Ba 0.1622 0.8378 0.5000  6 N 2.89-2.98
N 0.2912 0.2912 0.8224  2 Pa 2.35, 1 Dy 2.49

***

A geometry-optimized BaDyReN4 structure, computed with GGA-PBE.

Calculated values
Crystal system: monoclinic
Spin magnetization (Bohr magnetons per cell): 0.00
Uncorrected energy (Ry/atom): -0.6135
Fermi-level density of states (states/eV per atom): 0.000
Energy relative to the elements, uncorrected (eV per formula unit): -6.15

a = 5.9506 Å, b = 5.9891 Å, c = 7.4459 Å
α = 90.00°, β = 106.67°, γ = 90.00°
Closest atoms and distances in Å follow each position.
Positions (direct):
N 0.9469 0.4901 0.6974  1 Re 1.85
N 0.0531 0.5099 0.3026  1 Re 1.85
Re 0.2568 0.7500 0.3351  4 N 1.79-1.85
Dy 0.2002 0.2500 0.5414  6 N 2.34-2.59
N 0.5525 0.2500 0.8200  1 Re 1.84
N 0.4533 0.7500 0.5684  1 Re 1.79
Dy 0.7998 0.7500 0.4586  6 N 2.34-2.59
N 0.5467 0.2500 0.4316  1 Re 1.79
Ba 0.7199 0.7500 0.9295  4 N 2.70-2.93
N 0.0531 0.9901 0.3026  1 Re 1.85
Ba 0.2801 0.2500 0.0705  4 N 2.70-2.93
N 0.4475 0.7500 0.1800  1 Re 1.84
N 0.9469 0.0099 0.6974  1 Re 1.85
Re 0.7432 0.2500 0.6649  4 N 1.79-1.85

***

A geometry-optimized Ba2DyTcN4 structure, computed with GGA-PBE.

Calculated values
Crystal system: orthorhombic
Spin magnetization (Bohr magnetons per cell): 0.00
Uncorrected energy (Ry/atom): -0.5026
Fermi-level density of states (states/eV per atom): 0.627
Energy relative to the elements, uncorrected (eV per formula unit): -2.59

a = 5.8881 Å, b = 6.7182 Å, c = 10.9265 Å
α = 83.22°, β = 74.37°, γ = 64.01°
Closest atoms and distances in Å follow each position.
Positions (direct):
Dy 0.7500 0.5000 0.5000  4 N 2.26
N 0.3475 0.8141 0.0849  1 Tc 1.87
N 0.9116 0.6859 0.5849  1 Tc 1.87
Ba 0.8147 0.0000 0.3705  4 N 2.96-3.31
N 0.8384 0.8141 0.9151  1 Tc 1.87
N 0.5034 0.3141 0.5849  1 Tc 1.87
Tc 0.2500 0.5000 0.5000  4 N 1.87
Ba 0.9353 0.5000 0.1295  4 N 2.96-3.31
N 0.1825 0.3141 0.4151  1 Tc 1.87
Ba 0.5647 0.5000 0.8705  4 N 2.96-3.31
N 0.2466 0.1859 0.9151  1 Tc 1.87
Dy 0.0000 0.0000 0.0000  4 N 2.26
Ba 0.1853 0.0000 0.6295  4 N 2.96-3.31
N 0.4025 0.6859 0.4151  1 Tc 1.87
Tc 0.5000 0.0000 0.0000  4 N 1.87
N 0.5675 0.1859 0.0849  1 Tc 1.87

***

A geometry-optimized Ba2DyTc2N6 structure, computed with GGA-PBE.

Calculated values
Crystal system: monoclinic
Spin magnetization (Bohr magnetons per cell): 0.00
Uncorrected energy (Ry/atom): -0.5780
Fermi-level density of states (states/eV per atom): 0.324
Energy relative to the elements, uncorrected (eV per formula unit): -7.37

a = 6.1495 Å, b = 6.2144 Å, c = 7.2257 Å
α = 118.41°, β = 90.00°, γ = 119.66°
Closest atoms and distances in Å follow each position.
Positions (direct):
N 0.7146 0.9126 0.2313  1 Tc 1.81
Ba 0.7165 0.4330 0.1935  5 N 2.87-3.04
Ba 0.2835 0.5670 0.8065  5 N 2.87-3.04
N 0.2854 0.0874 0.7687  1 Tc 1.81
Tc 0.0407 0.0814 0.2040  3 N 1.79-1.81
N 0.2380 0.4759 0.3517  1 Tc 1.79
Dy 0.5000 0.0000 0.5000  6 N 2.35-2.42
N 0.1980 0.9126 0.2313  1 Tc 1.81
N 0.7620 0.5241 0.6483  1 Tc 1.79
N 0.8020 0.0874 0.7687  1 Tc 1.81
Tc 0.9593 0.9186 0.7960  3 N 1.79-1.81

***

A geometry-optimized BaDyTcN3 structure, computed with GGA-PBE.

Calculated values
Crystal system: monoclinic
Spin magnetization (Bohr magnetons per cell): 0.00
Uncorrected energy (Ry/atom): -0.5655
Fermi-level density of states (states/eV per atom): 0.389
Energy relative to the elements, uncorrected (eV per formula unit): -4.30

a = 3.5843 Å, b = 9.3909 Å, c = 6.9257 Å
α = 107.32°, β = 90.00°, γ = 90.00°
Closest atoms and distances in Å follow each position.
Positions (direct):
Dy 0.7500 0.3635 0.8489  6 N 2.32-2.54
N 0.2500 0.5146 0.8060  3 Dy 2.32-2.36
N 0.7500 0.4854 0.1940  3 Dy 2.32-2.36
Ba 0.2500 0.2934 0.3038  5 N 2.74-2.96
N 0.2500 0.1859 0.8898  1 Tc 1.78
Tc 0.7500 0.9210 0.3697  1 N 1.78
Tc 0.2500 0.0790 0.6303  1 N 1.78
N 0.7500 0.1461 0.5267  3 Tc 2.07-2.10
Dy 0.2500 0.6365 0.1511  6 N 2.32-2.54
N 0.2500 0.8539 0.4733  3 Tc 2.07-2.10
N 0.7500 0.8141 0.1102  1 Tc 1.78
Ba 0.7500 0.7066 0.6962  5 N 2.74-2.96

***

A geometry-optimized Ba3Dy2UN6 structure, computed with GGA-PBE.

Calculated values
Crystal system: monoclinic
Spin magnetization (Bohr magnetons per cell): 0.00
Uncorrected energy (Ry/atom): -0.5472
Energy relative to the elements, uncorrected (eV per formula unit): -13.13

a = 6.2412 Å, b = 6.2412 Å, c = 6.7096 Å
α = 98.84°, β = 98.84°, γ = 119.75°
Closest atoms and distances in Å follow each position.
Positions (direct):
N 0.3646 0.0617 0.1840  1 U 2.23, 2 Dy 2.48-2.49
N 0.9383 0.6354 0.8160  1 U 2.23, 2 Dy 2.48-2.49
Ba 0.5000 0.5000 0.5000  6 N 2.84-2.93
N 0.0617 0.3646 0.1840  1 U 2.23, 2 Dy 2.48-2.49
Dy 0.3341 0.6659 0.0000  6 N 2.48-2.50
N 0.7557 0.7557 0.1995  1 U 2.32, 2 Dy 2.50
Dy 0.6659 0.3341 0.0000  6 N 2.48-2.50
Ba 0.8283 0.1717 0.5000  6 N 2.82-3.01
N 0.2443 0.2443 0.8005  1 U 2.32, 2 Dy 2.50
N 0.6354 0.9383 0.8160  1 U 2.23, 2 Dy 2.48-2.49
U 0.0000 0.0000 0.0000  6 N 2.23-2.32
Ba 0.1717 0.8283 0.5000  6 N 2.82-3.01

***

A geometry-optimized BaDy2WN4 structure, computed with GGA-PBE.

Calculated values
Crystal system: orthorhombic
Spin magnetization (Bohr magnetons per cell): 0.88
Uncorrected energy (Ry/atom): -0.6054
Fermi-level density of states (states/eV per atom): 0.518
Energy relative to the elements, uncorrected (eV per formula unit): -8.51

a = 3.5013 Å, b = 6.4802 Å, c = 12.1537 Å
α = 90.00°, β = 90.00°, γ = 105.67°
Closest atoms and distances in Å follow each position.
Positions (direct):
N 0.2565 0.5129 0.1129  1 W 1.90
N 0.2565 0.5129 0.3871  1 W 1.90
W 0.8166 0.6331 0.7500  4 N 1.90-2.02
Dy 0.3716 0.7433 0.5375  6 N 2.33-2.60
N 0.0000 0.0000 0.0000  4 Dy 2.42
N 0.0000 0.0000 0.5000  4 Dy 2.42
N 0.7435 0.4871 0.8871  1 W 1.90
Ba 0.9218 0.8436 0.2500  8 N 2.86-3.19
N 0.6026 0.2052 0.2500  2 W 2.02
Dy 0.3716 0.7433 0.9625  6 N 2.33-2.60
N 0.3974 0.7948 0.7500  2 W 2.02
Dy 0.6284 0.2567 0.0375  6 N 2.33-2.60
W 0.1834 0.3669 0.2500  4 N 1.90-2.02
Dy 0.6284 0.2567 0.4625  6 N 2.33-2.60
N 0.7435 0.4871 0.6129  1 W 1.90
Ba 0.0782 0.1564 0.7500  8 N 2.86-3.19

***

A geometry-optimized Ba3DyW2N6 structure, computed with GGA-PBE.

Calculated values
Crystal system: trigonal
Spin magnetization (Bohr magnetons per cell): 0.00
Uncorrected energy (Ry/atom): -0.5918
Fermi-level density of states (states/eV per atom): 0.320
Energy relative to the elements, uncorrected (eV per formula unit): -10.39

a = 6.2601 Å, b = 6.2601 Å, c = 7.4469 Å
α = 90.00°, β = 90.00°, γ = 120.00°
Closest atoms and distances in Å follow each position.
Positions (direct):
N 0.3432 0.1716 0.7006  1 W 1.84
N 0.6568 0.8284 0.2994  1 W 1.84
Dy 0.0000 0.0000 0.5000  6 N 2.39
W 0.3333 0.6667 0.2236  3 N 1.84
N 0.8284 0.6568 0.7006  1 W 1.84
N 0.8284 0.1716 0.7006  1 W 1.84
W 0.6667 0.3333 0.7764  3 N 1.84
Ba 0.0000 0.0000 0.0000  6 N 2.90
N 0.1716 0.8284 0.2994  1 W 1.84
Ba 0.3333 0.6667 0.6820  9 N 3.13-3.35, 1 W 3.41
Ba 0.6667 0.3333 0.3180  9 N 3.13-3.35, 1 W 3.41
N 0.1716 0.3432 0.2994  1 W 1.84

***

A geometry-optimized BaDyW2N6 structure, computed with GGA-PBE.

Calculated values
Crystal system: monoclinic
Spin magnetization (Bohr magnetons per cell): 2.00
Uncorrected energy (Ry/atom): -0.6530
Fermi-level density of states (states/eV per atom): 0.519
Energy relative to the elements, uncorrected (eV per formula unit): -6.46

a = 6.6393 Å, b = 7.8573 Å, c = 7.8573 Å
α = 88.02°, β = 74.05°, γ = 74.05°
Closest atoms and distances in Å follow each position.
Positions (direct):
N 0.8784 0.3647 0.3066  2 W 1.93-1.96
Dy 0.2500 0.2831 0.7169  4 N 2.32-2.33
W 0.1764 0.3759 0.2178  4 N 1.80-1.96
N 0.6216 0.6934 0.6353  2 W 1.93-1.96
N 0.8727 0.3903 0.8169  1 W 1.80
W 0.3236 0.7822 0.6241  4 N 1.80-1.96
Ba 0.7500 0.0991 0.9009  4 N 2.64-2.80
N 0.2997 0.2575 0.9989  1 W 1.85
W 0.8236 0.6241 0.7822  4 N 1.80-1.96
N 0.2003 0.0011 0.7425  1 W 1.85
Ba 0.2500 0.9009 0.0991  4 N 2.64-2.80
N 0.1216 0.6353 0.6934  2 W 1.93-1.96
N 0.3727 0.8169 0.3903  1 W 1.80
W 0.6764 0.2178 0.3759  4 N 1.80-1.96
N 0.1273 0.6097 0.1831  1 W 1.80
N 0.7003 0.7425 0.0011  1 W 1.85
N 0.7997 0.9989 0.2575  1 W 1.85
N 0.3784 0.3066 0.3647  2 W 1.93-1.96
Dy 0.7500 0.7169 0.2831  4 N 2.32-2.33
N 0.6273 0.1831 0.6097  1 W 1.80

***

A geometry-optimized BaNa2Dy structure, computed with GGA-PBE.

Calculated values
Crystal system: trigonal
Spin magnetization (Bohr magnetons per cell): 0.00
Uncorrected energy (Ry/atom): -0.1418
Fermi-level density of states (states/eV per atom): 1.208
Formation energy from the elements (eV/f.u.): 1.45

a = 3.6680 Å, b = 3.6680 Å, c = 13.9527 Å
α = 82.45°, β = 82.45°, γ = 60.00°
Closest atoms and distances in Å follow each position.
Positions (direct):
Na 0.9166 0.9166 0.2503  1 Dy 3.45, 6 Na 3.67
Dy 0.0000 0.0000 0.0000  2 Na 3.45, 6 Dy 3.67
Na 0.0834 0.0834 0.7497  1 Dy 3.45, 6 Na 3.67
Ba 0.5000 0.5000 0.5000  6 Ba 3.67, 6 Na 4.04

***

A geometry-optimized Ba2NaDy structure, computed with GGA-PBE.

Calculated values
Crystal system: trigonal
Spin magnetization (Bohr magnetons per cell): 0.00
Uncorrected energy (Ry/atom): -0.1543
Fermi-level density of states (states/eV per atom): 1.254
Formation energy from the elements (eV/f.u.): 1.37
Excess energy over the best structure of this formula in the dataset (eV per atom): 0.153

a = 3.8230 Å, b = 3.8230 Å, c = 14.2511 Å
α = 82.29°, β = 82.29°, γ = 60.00°
Closest atoms and distances in Å follow each position.
Positions (direct):
Ba 0.0846 0.0846 0.7463  1 Dy 3.57, 6 Ba 3.82
Dy 0.0000 0.0000 0.0000  2 Ba 3.57, 6 Dy 3.82
Ba 0.9154 0.9154 0.2537  1 Dy 3.57, 6 Ba 3.82
Na 0.5000 0.5000 0.5000  6 Na 3.82, 6 Ba 4.11

***

A geometry-optimized Ba2NaDy structure, computed with GGA-PBE.

Calculated values
Crystal system: tetragonal
Spin magnetization (Bohr magnetons per cell): 0.00
Uncorrected energy (Ry/atom): -0.1656
Fermi-level density of states (states/eV per atom): 1.615
Formation energy from the elements (eV/f.u.): 0.75
Excess energy over the best structure of this formula in the dataset (eV per atom): 0.000

a = 4.4329 Å, b = 4.4329 Å, c = 9.6356 Å
α = 90.00°, β = 90.00°, γ = 90.00°
Closest atoms and distances in Å follow each position.
Positions (direct):
Ba 0.0000 0.0000 0.7589  4 Dy 3.90, 4 Na 4.01
Ba 0.0000 0.0000 0.2411  4 Dy 3.90, 4 Na 4.01
Dy 0.5000 0.5000 0.0000  8 Ba 3.90
Na 0.5000 0.5000 0.5000  8 Ba 4.01, 4 Na 4.43